Compound: MnTl2F2
Source: Alexandria
Functional: PBE+U
Structure: optimized geometry

Its density of states at the Fermi level is 2.19 states/eV/f.u. The total energy is -4.441 eV/atom.

It has space group P4/mbm (No. 127), with a = 6.207 Å, b = 6.207 Å, c = 5.279 Å, α = 90.00°, β = 90.00° and γ = 90.00°. The inequivalent atoms are Mn at (0.000, 0.000, 0.000), Tl at (0.183, 0.317, 0.500) and F at (0.241, 0.741, 0.000).